Record 1
Computed, not measured: a geometry-optimized Ho4Co3Cu structure at the GGA-PBE level of DFT.

Geometry as POSCAR:
```
Ho4Co3Cu
1.0
3.9389 0.0000 0.0000
0.0000 3.9718 0.0000
0.0000 0.0000 10.2702
Ho Co Cu
4 3 1
direct
0.0000 0.0000 0.0000
0.0000 0.5000 0.2815
0.5000 0.0000 0.4909
0.5000 0.5000 0.7788
0.0000 0.5000 0.5674
0.5000 0.0000 0.1938
0.5000 0.5000 0.0792
0.0000 0.0000 0.7057
```

Crystal system: orthorhombic
N(E_F) (states/eV per cell): 8.554
Magnetization (μB per cell): 1.06
ΔH_f (0 K) (eV per formula unit): -1.8
Final energy (eV per cell): -45.48

=====

Record 2
Computed, not measured: a geometry-optimized HfZr2Zn2 structure at the GGA-PBE level of DFT.

Geometry as POSCAR:
```
HfZr2Zn2
1.0
8.1264 0.0000 0.0000
0.0000 8.1264 0.0000
0.0000 0.0000 3.0277
Hf Zr Zn
2 4 4
direct
0.0000 0.0000 0.0000
0.5000 0.5000 0.0000
0.1334 0.3666 0.0000
0.3666 0.8666 0.0000
0.6334 0.1334 0.0000
0.8666 0.6334 0.0000
0.1667 0.6667 0.5000
0.3333 0.1667 0.5000
0.6667 0.8333 0.5000
0.8333 0.3333 0.5000
```

Crystal system: tetragonal
N(E_F) (states/eV per cell): 10.725
Magnetization (μB per cell): 0.00
ΔH_f (0 K) (eV per formula unit): 0.4
Final energy (eV per cell): -58.41

=====

Record 3
Computed, not measured: a geometry-optimized NbFeC2 structure at the GGA-PBE level of DFT.

Geometry as POSCAR:
```
NbFeC2
1.0
0.0000 2.6710 2.6710
2.6710 0.0000 2.6710
2.6710 2.6710 0.0000
Nb Fe C
1 1 2
direct
0.0000 0.0000 0.0000
0.5000 0.5000 0.5000
0.2500 0.2500 0.2500
0.7500 0.7500 0.7500
```

Crystal system: cubic
N(E_F) (states/eV per cell): 2.882
Magnetization (μB per cell): 1.26
ΔH_f (0 K) (eV per formula unit): 3.0
Final energy (eV per cell): -34.01

=====

Record 4
Computed, not measured: a geometry-optimized CeZn4Ga structure at the GGA-PBE level of DFT.

Geometry as POSCAR:
```
CeZn4Ga
1.0
2.1418 -7.8320 0.0000
2.1418 7.8320 0.0000
0.0000 0.0000 6.5791
Ce Zn Ga
2 8 2
direct
0.1282 0.8718 0.7500
0.8718 0.1282 0.2500
0.0627 0.9373 0.2500
0.3324 0.6676 0.5578
0.3324 0.6676 0.9422
0.5000 0.5000 0.0000
0.5000 0.5000 0.5000
0.6676 0.3324 0.0578
0.6676 0.3324 0.4422
0.9373 0.0627 0.7500
0.2274 0.7726 0.2500
0.7726 0.2274 0.7500
```

Crystal system: orthorhombic
N(E_F) (states/eV per cell): 11.553
Magnetization (μB per cell): 1.15
ΔH_f (0 K) (eV per formula unit): -1.4
Final energy (eV per cell): -30.98

=====

Record 5
Computed, not measured: a geometry-optimized ZrAgTe2I structure at the GGA-PBE level of DFT.

Geometry as POSCAR:
```
ZrAgTe2I
1.0
5.6137 0.0000 0.0000
0.0000 5.6137 0.0000
0.0000 0.0000 5.7857
Zr Ag Te I
1 1 2 1
direct
0.0000 0.0000 0.0000
0.5000 0.5000 0.5000
0.0000 0.5000 0.0000
0.5000 0.0000 0.0000
0.0000 0.0000 0.5000
```

Crystal system: tetragonal
N(E_F) (states/eV per cell): 2.691
Magnetization (μB per cell): 0.00
E_form (uncorrected) (meV/atom): -64
Final energy (eV per cell): -19.55

=====

Record 6
Computed, not measured: a geometry-optimized BaNbTe2Br structure at the GGA-PBE level of DFT.

Geometry as POSCAR:
```
BaNbTe2Br
1.0
6.5034 0.0000 0.0000
0.0000 6.5034 0.0000
0.0000 0.0000 5.8874
Ba Nb Te Br
1 1 2 1
direct
0.0000 0.0000 0.0000
0.5000 0.5000 0.5000
0.0000 0.5000 0.0000
0.5000 0.0000 0.0000
0.0000 0.0000 0.5000
```

Crystal system: tetragonal
N(E_F) (states/eV per cell): 9.453
Magnetization (μB per cell): 2.00
E_form (uncorrected) (meV/atom): 610
Final energy (eV per cell): -16.90

=====

Record 7
Computed, not measured: a geometry-optimized Sm2YPd3 structure at the GGA-PBE level of DFT.

Geometry as POSCAR:
```
Sm2YPd3
1.0
5.0853 0.0000 0.0000
0.0000 15.2977 0.0000
0.0000 0.0000 3.4797
Sm Y Pd
4 2 6
direct
0.2500 0.0840 0.0009
0.2500 0.4160 0.0009
0.7500 0.5840 0.9991
0.7500 0.9160 0.9991
0.2500 0.7500 0.9985
0.7500 0.2500 0.0015
0.2500 0.2500 0.5014
0.2500 0.5879 0.4990
0.2500 0.9121 0.4990
0.7500 0.0879 0.5010
0.7500 0.4121 0.5010
0.7500 0.7500 0.4986
```

Crystal system: orthorhombic
N(E_F) (states/eV per cell): 6.708
Magnetization (μB per cell): 0.00
ΔH_f (0 K) (eV per formula unit): -4.9
Final energy (eV per cell): -72.79

=====

Record 8
Computed, not measured: a geometry-optimized Ce2ICl structure at the GGA-PBE level of DFT.

Geometry as POSCAR:
```
Ce2ICl
1.0
2.0241 1.1686 7.6527
-2.0241 1.1686 7.6527
0.0000 -2.3372 7.6527
Ce I Cl
2 1 1
direct
0.2351 0.2351 0.2351
0.7649 0.7649 0.7649
0.0000 0.0000 0.0000
0.5000 0.5000 0.5000
```

Crystal system: trigonal
N(E_F) (states/eV per cell): 11.475
Magnetization (μB per cell): 2.14
E_form (uncorrected) (meV/atom): -1050
Final energy (eV per cell): -19.47

=====

Record 9
Computed, not measured: a geometry-optimized K3Sr2PaO6 structure at the GGA-PBE level of DFT.

Geometry as POSCAR:
```
K3Sr2PaO6
1.0
3.1844 -5.5111 0.0000
3.1844 5.5111 0.0000
-2.1411 0.0000 6.2716
K Sr Pa O
3 2 1 6
direct
0.0000 0.0000 0.0000
0.3331 0.6669 0.0000
0.6669 0.3331 0.0000
0.1667 0.8333 0.5000
0.8333 0.1667 0.5000
0.5000 0.5000 0.5000
0.1420 0.4354 0.3066
0.2714 0.2714 0.6911
0.4354 0.1420 0.3066
0.5646 0.8580 0.6934
0.7286 0.7286 0.3089
0.8580 0.5646 0.6934
```

Crystal system: monoclinic
N(E_F) (states/eV per cell): 0.000
Magnetization (μB per cell): 0.00
E_form (uncorrected) (meV/atom): -2616
Final energy (eV per cell): -77.29

=====

Record 10
Computed, not measured: a geometry-optimized Ca2IrPbO6 structure at the GGA-PBE level of DFT.

Geometry as POSCAR:
```
Ca2IrPbO6
1.0
5.6025 0.0000 0.0000
0.0000 5.8988 0.0000
-5.4550 0.0000 8.0949
Ca Ir Pb O
4 2 2 12
direct
0.2280 0.0652 0.2497
0.2280 0.4348 0.7497
0.7720 0.5652 0.2503
0.7720 0.9348 0.7503
0.0000 0.0000 0.5000
0.0000 0.5000 0.0000
0.5000 0.0000 0.0000
0.5000 0.5000 0.5000
0.0984 0.2150 0.9280
0.0984 0.2850 0.4280
0.2254 0.6806 0.9365
0.2254 0.8194 0.4365
0.3540 0.0557 0.7278
0.3540 0.4443 0.2278
0.6460 0.5557 0.7722
0.6460 0.9443 0.2722
0.7746 0.1806 0.5635
0.7746 0.3194 0.0635
0.9016 0.7150 0.5720
0.9016 0.7850 0.0720
```

Crystal system: monoclinic
N(E_F) (states/eV per cell): 9.709
Magnetization (μB per cell): 2.02
E_form (uncorrected) (meV/atom): -1703
Final energy (eV per cell): -126.69

=====

Record 11
Computed, not measured: a geometry-optimized Zr2Ru structure at the GGA-PBE level of DFT.

Geometry as POSCAR:
```
Zr2Ru
1.0
0.0000 6.2248 6.2248
6.2248 0.0000 6.2248
6.2248 6.2248 0.0000
Zr Ru
16 8
direct
0.0000 0.0000 0.0000
0.0000 0.0000 0.5000
0.0000 0.5000 0.0000
0.1883 0.1883 0.5617
0.1883 0.5617 0.1883
0.1883 0.5617 0.5617
0.4383 0.4383 0.8117
0.4383 0.8117 0.4383
0.4383 0.8117 0.8117
0.5000 0.0000 0.0000
0.5617 0.1883 0.1883
0.5617 0.1883 0.5617
0.5617 0.5617 0.1883
0.8117 0.4383 0.4383
0.8117 0.4383 0.8117
0.8117 0.8117 0.4383
0.1596 0.7801 0.7801
0.2199 0.2199 0.2199
0.2199 0.2199 0.8404
0.2199 0.8404 0.2199
0.7801 0.1596 0.7801
0.7801 0.7801 0.1596
0.7801 0.7801 0.7801
0.8404 0.2199 0.2199
```

Crystal system: cubic
N(E_F) (states/eV per cell): 20.939
Magnetization (μB per cell): 0.00
ΔH_f (0 K) (eV per formula unit): -1.0
Final energy (eV per cell): -219.18

=====

Record 12
Computed, not measured: a geometry-optimized CrCdAu2 structure at the GGA-PBE level of DFT.

Geometry as POSCAR:
```
CrCdAu2
1.0
3.1881 0.0000 0.0000
0.0000 3.8803 0.0000
0.0000 0.0000 5.9056
Cr Cd Au
1 1 2
direct
0.0000 0.0000 0.0000
0.5000 0.5000 0.7288
0.0000 0.0000 0.4868
0.5000 0.5000 0.2157
```

Crystal system: orthorhombic
N(E_F) (states/eV per cell): 1.388
Magnetization (μB per cell): 4.02
ΔH_f (0 K) (eV per formula unit): 0.3
Final energy (eV per cell): -16.81